# PBE IrOs3, relaxed
# Formation energy from the elements (eV per atom): 0.095
# Energy (eV for the cell shown): -126.5
data_IrOs3
_chemical_formula_sum 'Ir3 Os9'
_cell_length_a 2.7266
_cell_length_b 2.7266
_cell_length_c 26.8091
_cell_angle_alpha 90.00
_cell_angle_beta 90.00
_cell_angle_gamma 120.00
_symmetry_space_group_name_H-M 'R -3 m'
_symmetry_Int_Tables_number 166
_symmetry_space_group_name_Hall '-R 3 2"'
loop_
_atom_site_label
_atom_site_type_symbol
_atom_site_fract_x
_atom_site_fract_y
_atom_site_fract_z
Ir1 Ir 0.0000 0.0000 0.0000
Os1 Os 0.0000 0.0000 0.2488
Os2 Os 0.0000 0.0000 0.5000